Entry 1:
Density functional theory data (GGA-PBE) for Pr2Ga3Cu4Pd after structural relaxation.

Unit cell a=4.204 b=4.204 c=10.374 alpha=90.00 beta=90.00 gamma=90.00
Sites, in units of the cell vectors:
Ga  0.000  0.000  0.500
Ga  0.000  0.500  0.124
Ga  0.500  0.000  0.876
Cu  0.000  0.000  0.000
Cu  0.500  0.500  0.000
Cu  0.000  0.500  0.360
Cu  0.500  0.000  0.640
Pr  0.000  0.500  0.752
Pr  0.500  0.000  0.248
Pd  0.500  0.500  0.500

Output
space group	No. 115
formation energy from the elements	-418	meV per atom


Entry 2:
Density functional theory data (GGA-PBE) for BaAgSe after structural relaxation.

Unit cell a=5.860 b=5.861 c=4.474 alpha=67.56 beta=67.56 gamma=44.88
Sites, in units of the cell vectors:
Se  0.293  0.293  0.707
Ba  0.688  0.688  0.312
Ag  0.020  0.020  0.980

Output
space group	No. 107
ΔE_f (raw)	-0.74	eV/atom


Entry 3:
Density functional theory data (GGA-PBE) for Np2BiTeH2 after structural relaxation.

Unit cell a=3.943 b=3.943 c=8.900 alpha=90.00 beta=90.00 gamma=120.00
Sites, in units of the cell vectors:
Np  0.667  0.333  0.258
Np  0.333  0.667  0.742
H  0.667  0.333  0.744
H  0.333  0.667  0.256
Bi  0.000  0.000  0.000
Te  0.000  0.000  0.500

Output
space group	No. 164


Entry 4:
Density functional theory data (GGA-PBE) for MgZrGa after structural relaxation.

Unit cell a=4.358 b=5.742 c=9.551 alpha=90.00 beta=90.00 gamma=90.00
Sites, in units of the cell vectors:
Mg  0.000  0.748  0.500
Mg  0.000  0.252  0.500
Mg  0.500  0.248  0.000
Mg  0.500  0.752  0.000
Zr  0.500  0.000  0.317
Zr  0.000  0.500  0.817
Zr  0.000  0.500  0.183
Zr  0.500  0.000  0.683
Ga  0.000  0.000  0.145
Ga  0.500  0.500  0.355
Ga  0.000  0.000  0.855
Ga  0.500  0.500  0.645

Output
space group	No. 71
formation energy from the elements	-297	meV per atom


Entry 5:
Density functional theory data (GGA-PBE) for LiMg2Be2Pd5 after structural relaxation.

Unit cell a=3.123 b=9.467 c=9.467 alpha=90.00 beta=90.00 gamma=90.00
Sites, in units of the cell vectors:
Pd  0.500  0.070  0.794
Pd  0.500  0.206  0.070
Pd  0.500  0.706  0.430
Pd  0.500  0.000  0.500
Pd  0.500  0.430  0.294
Pd  0.500  0.930  0.206
Pd  0.500  0.570  0.706
Pd  0.500  0.794  0.930
Pd  0.500  0.294  0.570
Pd  0.500  0.500  0.000
Mg  0.000  0.674  0.174
Mg  0.000  0.826  0.674
Mg  0.000  0.174  0.326
Mg  0.000  0.326  0.826
Be  0.000  0.629  0.871
Be  0.000  0.129  0.629
Be  0.000  0.371  0.129
Be  0.000  0.871  0.371
Li  0.000  0.500  0.500
Li  0.000  0.000  0.000

Output
space group	No. 127
formation energy from the elements	-607	meV per atom


DOS(E_F) per entry: 0.604 0.465 2.708 0.486 0.165 states/eV per atom
Total moment per entry: 0.0 0.0 7.5 0.0 0.0 Bohr magnetons per cell
Total energy per entry: -44.40 -10.46 -41.51 -56.24 -89.17 eV/cell